No. 1
DFT (PBE-GGA) results for crystalline KSn4Te5 at its relaxed geometry.

**Electronic total energy**: -3.667 eV per atom
**Crystal system**: monoclinic
**M_tot**: 0.000 μB per cell
**Symmetry**: No. 12
**DOS(E_F)**: 0.66 states/eV per atom
**Formation energy (no corrections)**: -37.18 kJ/mol of atoms

a = 7.8656 Å, b = 7.8656 Å, c = 11.4972 Å
α = 119.01°, β = 119.01°, γ = 33.47°
Fractional positions:
K  0.0000  0.0000  0.0000
Sn  0.2031  0.2031  0.8000
Sn  0.3997  0.3997  0.5981
Sn  0.6003  0.6003  0.4019
Sn  0.7969  0.7969  0.2000
Te  0.0000  0.0000  0.5000
Te  0.2023  0.2023  0.3182
Te  0.3893  0.3893  0.1145
Te  0.6107  0.6107  0.8855
Te  0.7977  0.7977  0.6818


No. 2
DFT (PBE-GGA) results for crystalline K3SnTe3 at its relaxed geometry.

**Electronic total energy**: -3.226 eV per atom
**Crystal system**: monoclinic
**M_tot**: 0.000 μB per cell
**Symmetry**: No. 14
**Formation energy (no corrections)**: -80.81 kJ/mol of atoms

a = 9.7149 Å, b = 13.8603 Å, c = 9.7491 Å
α = 90.00°, β = 116.91°, γ = 90.00°
Fractional positions:
K  0.0001  0.1569  0.0104
K  0.0001  0.3431  0.5104
K  0.9999  0.6569  0.4896
K  0.9999  0.8431  0.9896
K  0.2230  0.5630  0.2013
K  0.2230  0.9370  0.7013
K  0.4521  0.2215  0.7828
K  0.4521  0.2785  0.2828
K  0.5479  0.7215  0.7172
K  0.5479  0.7785  0.2172
K  0.7770  0.0630  0.2987
K  0.7770  0.4370  0.7987
Sn  0.3458  0.5090  0.8746
Sn  0.3458  0.9910  0.3746
Sn  0.6542  0.0090  0.6254
Sn  0.6542  0.4910  0.1254
Te  0.1678  0.1327  0.4203
Te  0.1678  0.3673  0.9203
Te  0.2424  0.6952  0.8805
Te  0.2424  0.8048  0.3805
Te  0.3584  0.0240  0.0998
Te  0.3584  0.4760  0.5998
Te  0.6416  0.5240  0.4002
Te  0.6416  0.9760  0.9002
Te  0.7576  0.1952  0.6195
Te  0.7576  0.3048  0.1195
Te  0.8322  0.6327  0.0797
Te  0.8322  0.8673  0.5797


No. 3
DFT (PBE-GGA) results for crystalline KSn2Te3 at its relaxed geometry.

**Electronic total energy**: -3.528 eV per atom
**Crystal system**: orthorhombic
**M_tot**: 0.000 μB per cell
**Symmetry**: No. 26
**DOS(E_F)**: 0.25 states/eV per atom
**Formation energy (no corrections)**: -42.45 kJ/mol of atoms

a = 4.2283 Å, b = 12.3699 Å, c = 8.3480 Å
α = 90.00°, β = 90.00°, γ = 90.00°
Fractional positions:
K  0.0000  0.1428  0.0000
K  0.0000  0.8572  0.5000
Sn  0.0000  0.2053  0.5022
Sn  0.0000  0.7947  0.0022
Sn  0.5000  0.5003  0.0248
Sn  0.5000  0.4997  0.5248
Te  0.0000  0.3903  0.7265
Te  0.0000  0.6097  0.2265
Te  0.5000  0.0719  0.6611
Te  0.5000  0.3038  0.2646
Te  0.5000  0.6962  0.7646
Te  0.5000  0.9281  0.1611


No. 4
DFT (PBE-GGA) results for crystalline K2SnTe2 at its relaxed geometry.

**Electronic total energy**: -3.239 eV per atom
**Crystal system**: orthorhombic
**M_tot**: 0.000 μB per cell
**Symmetry**: No. 36
**Formation energy (no corrections)**: -71.68 kJ/mol of atoms

a = 11.8313 Å, b = 11.8313 Å, c = 7.4973 Å
α = 90.00°, β = 90.00°, γ = 157.45°
Fractional positions:
K  0.0288  0.9712  0.5000
K  0.1925  0.8075  0.7553
K  0.8075  0.1925  0.2553
K  0.9712  0.0288  0.0000
Sn  0.3949  0.6051  0.6912
Sn  0.6051  0.3949  0.1912
Te  0.1856  0.8144  0.2410
Te  0.4218  0.5782  0.3190
Te  0.5782  0.4218  0.8190
Te  0.8144  0.1856  0.7410


No. 5
DFT (PBE-GGA) results for crystalline KSnTe3 at its relaxed geometry.

**Electronic total energy**: -3.068 eV per atom
**Crystal system**: cubic
**M_tot**: 0.000 μB per cell
**Symmetry**: No. 221
**DOS(E_F)**: 0.95 states/eV per atom
**Formation energy (no corrections)**: -15.72 kJ/mol of atoms

a = 5.8411 Å, b = 5.8411 Å, c = 5.8411 Å
α = 90.00°, β = 90.00°, γ = 90.00°
Fractional positions:
K  0.0000  0.0000  0.0000
Sn  0.5000  0.5000  0.5000
Te  0.0000  0.5000  0.5000
Te  0.5000  0.0000  0.5000
Te  0.5000  0.5000  0.0000


No. 6
DFT (PBE-GGA) results for crystalline K2SnTe2 at its relaxed geometry.

**Electronic total energy**: -3.192 eV per atom
**Crystal system**: orthorhombic
**M_tot**: 0.000 μB per cell
**Symmetry**: No. 72
**Formation energy (no corrections)**: -67.13 kJ/mol of atoms

a = 8.9986 Å, b = 8.9986 Å, c = 8.9986 Å
α = 125.30°, β = 76.68°, γ = 130.73°
Fractional positions:
K  0.1405  0.1582  0.2987
K  0.3595  0.6582  0.0177
K  0.6405  0.3418  0.9823
K  0.8595  0.8418  0.7013
Sn  0.2500  0.7500  0.5000
Sn  0.7500  0.2500  0.5000
Te  0.1139  0.7296  0.8434
Te  0.3861  0.2296  0.6157
Te  0.6139  0.7704  0.3843
Te  0.8861  0.2704  0.1566


No. 7
DFT (PBE-GGA) results for crystalline K2SnTe3 at its relaxed geometry.

**Electronic total energy**: -3.296 eV per atom
**Crystal system**: orthorhombic
**M_tot**: 0.000 μB per cell
**Symmetry**: No. 64
**Formation energy (no corrections)**: -66.80 kJ/mol of atoms

a = 12.4943 Å, b = 12.4943 Å, c = 8.8177 Å
α = 90.00°, β = 90.00°, γ = 41.09°
Fractional positions:
K  0.0781  0.0781  0.0000
K  0.2352  0.2352  0.0000
K  0.2648  0.2648  0.5000
K  0.4219  0.4219  0.5000
K  0.5781  0.5781  0.5000
K  0.7352  0.7352  0.5000
K  0.7648  0.7648  0.0000
K  0.9219  0.9219  0.0000
Sn  0.0841  0.0841  0.5000
Sn  0.4159  0.4159  0.0000
Sn  0.5841  0.5841  0.0000
Sn  0.9159  0.9159  0.5000
Te  0.0370  0.6641  0.3136
Te  0.1641  0.5370  0.8136
Te  0.1684  0.8316  0.6684
Te  0.3316  0.6684  0.1684
Te  0.3359  0.9630  0.3136
Te  0.4630  0.8359  0.8136
Te  0.5370  0.1641  0.1864
Te  0.6641  0.0370  0.6864
Te  0.6684  0.3316  0.8316
Te  0.8316  0.1684  0.3316
Te  0.8359  0.4630  0.1864
Te  0.9630  0.3359  0.6864


No. 8
DFT (PBE-GGA) results for crystalline KSnTe3 at its relaxed geometry.

**Electronic total energy**: -3.177 eV per atom
**Crystal system**: trigonal
**M_tot**: 0.000 μB per cell
**Symmetry**: No. 161
**DOS(E_F)**: 0.65 states/eV per atom
**Formation energy (no corrections)**: -26.22 kJ/mol of atoms

a = 7.3052 Å, b = 7.3052 Å, c = 7.3052 Å
α = 74.69°, β = 74.69°, γ = 74.69°
Fractional positions:
K  0.0000  0.0000  0.0000
K  0.5000  0.5000  0.5000
Sn  0.2497  0.2497  0.2497
Sn  0.7497  0.7497  0.7497
Te  0.0002  0.4013  0.5980
Te  0.0980  0.9013  0.5002
Te  0.4013  0.5980  0.0002
Te  0.5002  0.0980  0.9013
Te  0.5980  0.0002  0.4013
Te  0.9013  0.5002  0.0980


No. 9
DFT (PBE-GGA) results for crystalline KSn2Te4 at its relaxed geometry.

**Electronic total energy**: -3.412 eV per atom
**Crystal system**: orthorhombic
**M_tot**: 0.000 μB per cell
**Symmetry**: No. 63
**DOS(E_F)**: 0.53 states/eV per atom
**Formation energy (no corrections)**: -30.54 kJ/mol of atoms

a = 7.7329 Å, b = 7.7329 Å, c = 15.0756 Å
α = 90.00°, β = 90.00°, γ = 147.20°
Fractional positions:
K  0.1011  0.8989  0.7500
K  0.8989  0.1011  0.2500
Sn  0.3607  0.6393  0.5631
Sn  0.3607  0.6393  0.9369
Sn  0.6393  0.3607  0.0631
Sn  0.6393  0.3607  0.4369
Te  0.0000  0.0000  0.0000
Te  0.0000  0.0000  0.5000
Te  0.2713  0.7287  0.1121
Te  0.2713  0.7287  0.3879
Te  0.4215  0.5785  0.7500
Te  0.5785  0.4215  0.2500
Te  0.7287  0.2713  0.6121
Te  0.7287  0.2713  0.8879


No. 10
DFT (PBE-GGA) results for crystalline K2SnTe4 at its relaxed geometry.

**Electronic total energy**: -3.124 eV per atom
**Crystal system**: orthorhombic
**M_tot**: 0.000 μB per cell
**Symmetry**: No. 42
**DOS(E_F)**: 0.36 states/eV per atom
**Formation energy (no corrections)**: -42.79 kJ/mol of atoms

a = 7.4787 Å, b = 7.3059 Å, c = 6.9451 Å
α = 63.25°, β = 60.73°, γ = 56.02°
Fractional positions:
K  0.0000  0.0000  0.5000
K  0.5000  0.5000  0.0000
Sn  0.1137  0.1137  0.8863
Te  0.5128  0.9942  0.0058
Te  0.5207  0.9945  0.4793
Te  0.9942  0.5128  0.4872
Te  0.9945  0.5207  0.0055


No. 11
DFT (PBE-GGA) results for crystalline K2SnTe4 at its relaxed geometry.

**Electronic total energy**: -2.964 eV per atom
**Crystal system**: tetragonal
**M_tot**: 0.000 μB per cell
**Symmetry**: No. 139
**DOS(E_F)**: 0.72 states/eV per atom
**Formation energy (no corrections)**: -27.35 kJ/mol of atoms

a = 5.9064 Å, b = 5.9064 Å, c = 17.3973 Å
α = 90.00°, β = 90.00°, γ = 90.00°
Fractional positions:
K  0.0000  0.0000  0.1317
K  0.0000  0.0000  0.8683
K  0.5000  0.5000  0.3683
K  0.5000  0.5000  0.6317
Sn  0.0000  0.0000  0.5000
Sn  0.5000  0.5000  0.0000
Te  0.0000  0.0000  0.3404
Te  0.0000  0.0000  0.6596
Te  0.0000  0.5000  0.0000
Te  0.0000  0.5000  0.5000
Te  0.5000  0.0000  0.0000
Te  0.5000  0.0000  0.5000
Te  0.5000  0.5000  0.1596
Te  0.5000  0.5000  0.8404


No. 12
DFT (PBE-GGA) results for crystalline K2SnTe2 at its relaxed geometry.

**Electronic total energy**: -3.071 eV per atom
**Crystal system**: tetragonal
**M_tot**: 0.000 μB per cell
**Symmetry**: No. 127
**DOS(E_F)**: 0.42 states/eV per atom
**Formation energy (no corrections)**: -55.47 kJ/mol of atoms

a = 8.6459 Å, b = 8.6459 Å, c = 4.9794 Å
α = 90.00°, β = 90.00°, γ = 90.00°
Fractional positions:
K  0.1367  0.3633  0.0000
K  0.3633  0.8633  0.0000
K  0.6367  0.1367  0.0000
K  0.8633  0.6367  0.0000
Sn  0.0000  0.0000  0.5000
Sn  0.5000  0.5000  0.5000
Te  0.1744  0.6744  0.5000
Te  0.3256  0.1744  0.5000
Te  0.6744  0.8256  0.5000
Te  0.8256  0.3256  0.5000